Entry 1:
# Sb2TeI | Alexandria via LeMat-Bulk | PBE-GGA | optimized geometry
# E_tot ... -0.215 Ry/atom
# Spin magnetization ... 0.0 μB/cell
# Formation energy from raw total energies ... 0.31 eV/atom
# SG ... Fm-3m (225)
data_Sb2TeI
_chemical_formula_sum 'Sb2 Te1 I1'
_cell_length_a 5.489
_cell_length_b 5.489
_cell_length_c 5.489
_cell_angle_alpha 60.00
_cell_angle_beta 60.00
_cell_angle_gamma 60.00
_symmetry_space_group_name_H-M 'P 1'
_symmetry_Int_Tables_number 1
loop_
_symmetry_equiv_pos_as_xyz
'x,y,z'
loop_
_atom_site_label
_atom_site_fract_x
_atom_site_fract_y
_atom_site_fract_z
_atom_site_occupancy
Sb1 0.250 0.250 0.250 1
I1 0.500 0.500 0.500 1
Te1 0.000 0.000 0.000 1
Sb2 0.750 0.750 0.750 1

Entry 2:
# FeNiBH2 | Alexandria via LeMat-Bulk | PBE-GGA | optimized geometry
# E_tot ... -0.347 Ry/atom
# Spin magnetization ... 3.3 μB/cell
# SG ... P4/mmm (123)
data_FeNiBH2
_chemical_formula_sum 'Fe1 Ni1 B1 H2'
_cell_length_a 3.258
_cell_length_b 3.946
_cell_length_c 3.258
_cell_angle_alpha 90.00
_cell_angle_beta 90.00
_cell_angle_gamma 90.00
_symmetry_space_group_name_H-M 'P 1'
_symmetry_Int_Tables_number 1
loop_
_symmetry_equiv_pos_as_xyz
'x,y,z'
loop_
_atom_site_label
_atom_site_fract_x
_atom_site_fract_y
_atom_site_fract_z
_atom_site_occupancy
B1 0.000 0.000 0.000 1
Ni1 0.000 0.500 0.000 1
Fe1 0.500 0.500 0.500 1
H1 0.500 0.000 0.000 1
H2 0.000 0.000 0.500 1

Entry 3:
# CaZr4Sc | Alexandria via LeMat-Bulk | PBE-GGA | optimized geometry
# E_tot ... -0.498 Ry/atom
# Spin magnetization ... 0.0 μB/cell
# SG ... F-43m (216)
data_CaZr4Sc
_chemical_formula_sum 'Ca1 Zr4 Sc1'
_cell_length_a 6.050
_cell_length_b 6.050
_cell_length_c 6.050
_cell_angle_alpha 60.00
_cell_angle_beta 60.00
_cell_angle_gamma 60.00
_symmetry_space_group_name_H-M 'P 1'
_symmetry_Int_Tables_number 1
loop_
_symmetry_equiv_pos_as_xyz
'x,y,z'
loop_
_atom_site_label
_atom_site_fract_x
_atom_site_fract_y
_atom_site_fract_z
_atom_site_occupancy
Sc1 0.000 0.000 0.000 1
Zr1 0.373 0.373 0.881 1
Zr2 0.373 0.881 0.373 1
Zr3 0.881 0.373 0.373 1
Zr4 0.373 0.373 0.373 1
Ca1 0.750 0.750 0.750 1

Entry 4:
# Ta2AlAs | Alexandria via LeMat-Bulk | PBE-GGA | optimized geometry
# E_tot ... -0.572 Ry/atom
# Spin magnetization ... 0.5 μB/cell
# Polymorph energy (0 for the lowest one) ... 459 meV per atom
# SG ... F-43m (216)
data_Ta2AlAs
_chemical_formula_sum 'Ta2 Al1 As1'
_cell_length_a 4.608
_cell_length_b 4.608
_cell_length_c 4.608
_cell_angle_alpha 60.00
_cell_angle_beta 60.00
_cell_angle_gamma 60.00
_symmetry_space_group_name_H-M 'P 1'
_symmetry_Int_Tables_number 1
loop_
_symmetry_equiv_pos_as_xyz
'x,y,z'
loop_
_atom_site_label
_atom_site_fract_x
_atom_site_fract_y
_atom_site_fract_z
_atom_site_occupancy
Ta1 0.000 0.000 0.000 1
Al1 0.500 0.500 0.500 1
Ta2 0.250 0.250 0.250 1
As1 0.750 0.750 0.750 1

Repeat the first record exactly.
# Sb2TeI | Alexandria via LeMat-Bulk | PBE-GGA | optimized geometry
# E_tot ... -0.215 Ry/atom
# Spin magnetization ... 0.0 μB/cell
# Formation energy from raw total energies ... 0.31 eV/atom
# SG ... Fm-3m (225)
data_Sb2TeI
_chemical_formula_sum 'Sb2 Te1 I1'
_cell_length_a 5.489
_cell_length_b 5.489
_cell_length_c 5.489
_cell_angle_alpha 60.00
_cell_angle_beta 60.00
_cell_angle_gamma 60.00
_symmetry_space_group_name_H-M 'P 1'
_symmetry_Int_Tables_number 1
loop_
_symmetry_equiv_pos_as_xyz
'x,y,z'
loop_
_atom_site_label
_atom_site_fract_x
_atom_site_fract_y
_atom_site_fract_z
_atom_site_occupancy
Sb1 0.250 0.250 0.250 1
I1 0.500 0.500 0.500 1
Te1 0.000 0.000 0.000 1
Sb2 0.750 0.750 0.750 1

Which formula does entry 1 have?
Sb2TeI

Which of these has the highest spin magnetization?
FeNiBH2